Density functional theory data (PBE with a Hubbard U) for NiPtO2 after structural relaxation.

Calculated values
Its spin magnetization is 3.3 μB/f.u. As for the density of states at the Fermi level: 14.56 states/eV/cell. The energy comes out at -67.59 eV for the cell shown.

a b c (Å): 5.584 5.584 5.584
angles (deg): 90.00 90.00 90.00
Space group Fm-3m (No. 225)
One atom of each set of equivalent atoms:
Ni 0.000 0.000 0.000
Pt 0.000 0.000 0.500
O 0.250 0.250 0.250